VASP calculation (GGA-PBE) on a geometry-optimized TmAl3Ga4 structure.

Summary:
* ΔE_f: -50 meV/atom
* total DFT energy (no corrections): -0.130 hartree per atom

a b c (Å): 3.3148 6.9196 13.8466
angles (deg): 90.00 90.00 90.00
Closest atoms and distances in Å follow each position.
Space group Immm (No. 71)
Asymmetric unit:
Tm 0.0000 0.0000 0.0000 x2  4 Ga 2.95, 4 Al 3.05
Al 0.0000 0.0000 0.5000 x2  8 Ga 2.93
Al 0.0000 0.5000 0.3154 x4  6 Ga 2.69-2.76
Ga 0.0000 0.3101 0.1462 x8  1 Ga 2.63, 5 Al 2.69-2.93